MnPbS2O8 after structural relaxation, computed with PBE+U.

- VASP energy: -6.45 eV per atom
- Total moment: 5.00 μB per formula unit
- ΔE to the lowest computed polymorph: 0 meV/atom

a b c (Å): 6.8617 6.8617 13.9947
angles (deg): 90.00 90.00 90.00
Last column: nearest neighbours and their distance in Å.
Space group P4_32_12 (No. 96)
Symmetry-distinct sites (fractional):
Mn  0.1653  0.1653  0.0000 (multiplicity 4)  6 O 2.18-2.28
Pb  0.2497  0.2497  0.5000 (multiplicity 4)  6 O 2.55-2.73
S  0.1741  0.2457  0.2420 (multiplicity 8)  4 O 1.49-1.50
O  0.0096  0.6423  0.7533 (multiplicity 8)  1 S 1.49
O  0.1103  0.8388  0.9862 (multiplicity 8)  1 S 1.50
O  0.1147  0.2089  0.6747 (multiplicity 8)  1 S 1.49
O  0.1227  0.1733  0.8457 (multiplicity 8)  1 S 1.49